Entry from Alexandria: a geometry-optimized Cu2TeAuS4 structure (PBE).

Summary:
Mass density in Mg/m³: 5.52
Electronic total energy in eV per atom: -3.897
ΔE_f (raw) in eV per formula unit: -0.058
Calculated volume in Å³ per atom: 21.81
DOS(E_F) in states/eV per cell: 12.9
Crystal system: orthorhombic

Lattice parameters (Å, degrees): 7.7137 7.1035 6.3691 90.00 90.00 90.00
Space group Pmn2_1 (No. 31)
Asymmetric unit:
Cu (0.2483, 0.1358, 0.0000) [4 per cell]
Te (0.0000, 0.3502, 0.4623) [2 per cell]
Au (0.0000, 0.5679, 0.0633) [2 per cell]
S (0.0000, 0.2777, 0.8780) [2 per cell]
S (0.0000, 0.7430, 0.3798) [2 per cell]
S (0.2431, 0.8400, 0.8590) [4 per cell]


Entry from Alexandria: a geometry-optimized K2Sn3Pt2 structure (PBE).

Summary:
Mass density in Mg/m³: 7.07
Electronic total energy in eV per atom: -4.190
Calculated volume in Å³ per atom: 27.66
DOS(E_F) in states/eV per cell: 5.0
Energy of formation in meV/atom: -435
Crystal system: monoclinic

Lattice parameters (Å, degrees): 12.6648 4.4219 8.4742 90.00 125.33 90.00
Space group C2/m (No. 12)
Asymmetric unit:
K (0.1468, 0.0000, 0.2764) [4 per cell]
Sn (0.0000, 0.5000, 0.5000) [2 per cell]
Sn (0.1420, 0.5000, 0.9486) [4 per cell]
Pt (0.1145, 0.0000, 0.7174) [4 per cell]


The highest mass density belongs to which entry?
K2Sn3Pt2


Look up the mass density of the first one.
5.52 Mg/m³


Number 2 is which compound?
K2Sn3Pt2


Please write out number 1 again, unchanged.
Entry from Alexandria: a geometry-optimized Cu2TeAuS4 structure (PBE).

Summary:
Mass density in Mg/m³: 5.52
Electronic total energy in eV per atom: -3.897
ΔE_f (raw) in eV per formula unit: -0.058
Calculated volume in Å³ per atom: 21.81
DOS(E_F) in states/eV per cell: 12.9
Crystal system: orthorhombic

Lattice parameters (Å, degrees): 7.7137 7.1035 6.3691 90.00 90.00 90.00
Space group Pmn2_1 (No. 31)
Asymmetric unit:
Cu (0.2483, 0.1358, 0.0000) [4 per cell]
Te (0.0000, 0.3502, 0.4623) [2 per cell]
Au (0.0000, 0.5679, 0.0633) [2 per cell]
S (0.0000, 0.2777, 0.8780) [2 per cell]
S (0.0000, 0.7430, 0.3798) [2 per cell]
S (0.2431, 0.8400, 0.8590) [4 per cell]